# La2TlNi | Alexandria | GGA-PBEsol | optimized geometry
# magnetic moment = 0.00 μB/atom
# VASP energy = -20.785 eV for the cell shown
data_La2TlNi
_cell_length_a 3.540
_cell_length_b 3.540
_cell_length_c 8.050
_cell_angle_alpha 90.00
_cell_angle_beta 90.08
_cell_angle_gamma 90.00
_symmetry_space_group_name_H-M 'P 1 2/m 1'
_symmetry_Int_Tables_number 10
loop_
_symmetry_equiv_pos_as_xyz
'x,y,z'
'-x,-y,-z'
'-x,y,-z'
'x,-y,z'
loop_
_atom_site_label
_atom_site_type_symbol
_atom_site_fract_x
_atom_site_fract_y
_atom_site_fract_z
La1 La 0.001 0.000 0.295
Tl1 Tl 0.500 0.500 0.000
Ni1 Ni 0.500 0.500 0.500


# LaTl2Ni2 | Alexandria | GGA-PBEsol | optimized geometry
# magnetic moment = 0.00 μB/atom
# VASP energy = -46.602 eV for the cell shown
data_LaTl2Ni2
_cell_length_a 4.604
_cell_length_b 4.604
_cell_length_c 9.953
_cell_angle_alpha 90.00
_cell_angle_beta 90.00
_cell_angle_gamma 90.00
_symmetry_space_group_name_H-M 'I 4/m m m'
_symmetry_Int_Tables_number 139
_symmetry_space_group_name_Hall '-I 4 2'
loop_
_atom_site_label
_atom_site_type_symbol
_atom_site_fract_x
_atom_site_fract_y
_atom_site_fract_z
La1 La 0.000 0.000 0.000
Tl1 Tl 0.000 0.000 0.356
Ni1 Ni 0.000 0.500 0.250


# La2TlNi | Alexandria | GGA-PBEsol | optimized geometry
# magnetic moment = 0.00 μB/atom
# VASP energy = -20.154 eV for the cell shown
data_La2TlNi
_cell_length_a 4.998
_cell_length_b 4.998
_cell_length_c 4.110
_cell_angle_alpha 90.00
_cell_angle_beta 90.00
_cell_angle_gamma 90.00
_symmetry_space_group_name_H-M 'P 4/m m m'
_symmetry_Int_Tables_number 123
_symmetry_space_group_name_Hall '-P 4 2'
loop_
_atom_site_label
_atom_site_type_symbol
_atom_site_fract_x
_atom_site_fract_y
_atom_site_fract_z
La1 La 0.000 0.500 0.000
Tl1 Tl 0.000 0.000 0.500
Ni1 Ni 0.500 0.500 0.500


# La2YNi | Alexandria | GGA-PBEsol | optimized geometry
# magnetic moment = 0.00 μB/atom
# VASP energy = -91.713 eV for the cell shown
data_La2YNi
_cell_length_a 7.259
_cell_length_b 7.259
_cell_length_c 7.259
_cell_angle_alpha 90.00
_cell_angle_beta 90.00
_cell_angle_gamma 90.00
_symmetry_space_group_name_H-M 'F -4 3 m'
_symmetry_Int_Tables_number 216
_symmetry_space_group_name_Hall 'F -4 2 3'
loop_
_atom_site_label
_atom_site_type_symbol
_atom_site_fract_x
_atom_site_fract_y
_atom_site_fract_z
La1 La 0.000 0.000 0.000
La2 La 0.250 0.250 0.250
Y1 Y 0.000 0.000 0.500
Ni1 Ni 0.250 0.250 0.750


# La2ZnNi2 | Alexandria | GGA-PBEsol | optimized geometry
# magnetic moment = 0.00 μB/atom
# VASP energy = -51.364 eV for the cell shown
data_La2ZnNi2
_cell_length_a 5.388
_cell_length_b 5.388
_cell_length_c 7.296
_cell_angle_alpha 90.00
_cell_angle_beta 90.00
_cell_angle_gamma 90.00
_symmetry_space_group_name_H-M 'I 4/m m m'
_symmetry_Int_Tables_number 139
_symmetry_space_group_name_Hall '-I 4 2'
loop_
_atom_site_label
_atom_site_type_symbol
_atom_site_fract_x
_atom_site_fract_y
_atom_site_fract_z
La1 La 0.000 0.500 0.250
Zn1 Zn 0.000 0.000 0.000
Ni1 Ni 0.000 0.000 0.341


# LaZn2Ni | Alexandria | GGA-PBEsol | optimized geometry
# magnetic moment = 0.00 μB/atom
# VASP energy = -15.241 eV for the cell shown
data_LaZn2Ni
_cell_length_a 3.150
_cell_length_b 3.150
_cell_length_c 6.977
_cell_angle_alpha 90.00
_cell_angle_beta 90.00
_cell_angle_gamma 90.00
_symmetry_space_group_name_H-M 'P 4 m m'
_symmetry_Int_Tables_number 99
loop_
_symmetry_equiv_pos_as_xyz
'x,y,z'
'-y,x,z'
'-x,-y,z'
'y,-x,z'
'-x,y,z'
'y,x,z'
'x,-y,z'
'-y,-x,z'
loop_
_atom_site_label
_atom_site_type_symbol
_atom_site_fract_x
_atom_site_fract_y
_atom_site_fract_z
La1 La 0.000 0.000 0.000
Zn1 Zn 0.000 0.000 0.448
Zn2 Zn 0.500 0.500 0.657
Ni1 Ni 0.500 0.500 0.284